CrCo2I | the Alexandria database | PBE-GGA | optimized geometry; space-group type = Fm-3m, No. 225; distance to the lowest polymorph of the same formula = 0 kJ/mol of formula units; total magnetic moment = 5.345 μB per cell; DOS(E_F) = 6.58 states/eV per cell; V = 57.96 Å³/cell; final energy = -5.500 eV/atom; energy relative to the elements, uncorrected = 0.846 eV per atom
1.0
0.000 3.072 3.072
3.072 0.000 3.072
3.072 3.072 0.000
Cr Co I
1 2 1
Cartesian
0.000 0.000 0.000
1.536 1.536 1.536
4.607 4.607 4.607
3.072 3.072 3.072